## CdCuReSe2 (meta-GGA SCAN)

Data for a PBEsol-optimized structure of CdCuReSe2.

SG: P4/mmm

a b c (Å): 4.6853 4.6853 5.3651
angles (deg): 90.00 90.00 90.00
Closest atoms and distances in Å follow each position.
Element x y z (fractional)
Cd  0.0000  0.0000  0.0000  2 Re 2.68
Cu  0.5000  0.5000  0.0000  4 Cd 3.31, 8 Se 3.56
Re  0.0000  0.0000  0.5000  4 Se 2.34
Se  0.0000  0.5000  0.5000  2 Re 2.34
Se  0.5000  0.0000  0.5000  2 Re 2.34

***

## Sn2PtRhW (meta-GGA SCAN)

Data for a PBEsol-optimized structure of Sn2PtRhW.

Energy of formation from the pure elements (eV/atom): 1.28
SG: P4/mmm

a b c (Å): 5.1083 5.1083 4.5797
angles (deg): 90.00 90.00 90.00
Closest atoms and distances in Å follow each position.
Element x y z (fractional)
Sn  0.0000  0.5000  0.0000  2 W 2.55
Sn  0.5000  0.0000  0.0000  2 W 2.55
Pt  0.0000  0.0000  0.5000  8 Sn 3.43, 4 Rh 3.61
Rh  0.5000  0.5000  0.5000  2 W 2.29
W  0.5000  0.5000  0.0000  2 Rh 2.29, 4 Sn 2.55

***

Number 1: total moment 0.0 μB/cell, E -152.73 eV/f.u.. Number 2: total moment 0.0 μB/cell, E -239.09 eV/f.u..